1.
A relaxed Tm2Mg2AlGa4 crystal, computed with PBE.

It has space group I4/mmm (No. 139), with a = 6.829 Å, b = 6.829 Å, c = 8.920 Å, α = 90.00°, β = 90.00° and γ = 90.00°. The inequivalent atoms are Tm at (0.000, 0.000, 0.190), Mg at (0.000, 0.500, 0.250), Al at (0.000, 0.000, 0.500) and Ga at (0.245, 0.245, 0.000).

The formation energy comes out at -0.07 eV/atom. The value obtained for the raw total energy is -3.18 eV per atom. The calculation puts the density of states at the Fermi level at 0.545 states/eV/atom.

---

2.
A relaxed ThSc3Ag2 crystal, computed with PBE.

It has space group P4/mmm (No. 123), with a = 3.461 Å, b = 3.461 Å, c = 11.407 Å, α = 90.00°, β = 90.00° and γ = 90.00°. The inequivalent atoms are Th at (0.000, 0.000, 0.000), Sc at (0.500, 0.500, 0.201), Sc at (0.500, 0.500, 0.500) and Ag at (0.000, 0.000, 0.351).

The formation energy comes out at -0.18 eV/atom. The value obtained for the raw total energy is -5.53 eV per atom. The calculation puts the density of states at the Fermi level at 1.195 states/eV/atom.

---

3.
A relaxed Cs2Tl4I3Br2 crystal, computed with PBE.

It has space group I4/mmm (No. 139), with a = 5.662 Å, b = 5.662 Å, c = 36.886 Å, α = 90.00°, β = 90.00° and γ = 90.00°. The inequivalent atoms are Cs at (0.000, 0.000, 0.201), Tl at (0.000, 0.500, 0.062), I at (0.000, 0.000, 0.306), I at (0.000, 0.000, 0.500) and Br at (0.000, 0.000, 0.101).

The uncorrected formation energy is -0.849 eV per atom. The value obtained for the raw total energy is -2.59 eV per atom. The calculation puts the density of states at the Fermi level at 0.085 states/eV/atom.

---

4.
A relaxed VTcAsOs crystal, computed with PBE.

It has space group F-43m (No. 216), with a = 6.092 Å, b = 6.092 Å, c = 6.092 Å, α = 90.00°, β = 90.00° and γ = 90.00°. The inequivalent atoms are V at (0.000, 0.000, 0.000), Tc at (0.250, 0.250, 0.750), As at (0.000, 0.000, 0.500) and Os at (0.250, 0.250, 0.250).

The formation energy comes out at -0.05 eV/atom. The value obtained for the raw total energy is -8.89 eV per atom. The calculation puts the density of states at the Fermi level at 0.545 states/eV/atom.

---

5.
A relaxed Tb2Dy5Pu crystal, computed with PBE.

It has space group C2/c (No. 15), with a = 9.586 Å, b = 9.118 Å, c = 12.015 Å, α = 90.00°, β = 106.93° and γ = 90.00°. The inequivalent atoms are Tb at (0.000, 0.000, 0.000), Tb at (0.250, 0.250, 0.000), Dy at (0.000, 0.231, 0.750), Dy at (0.125, 0.363, 0.518), Dy at (0.187, 0.434, 0.260) and Pu at (0.000, 0.133, 0.250).

The formation energy comes out at 0.18 eV/atom. The value obtained for the raw total energy is -5.65 eV per atom. The calculation puts the density of states at the Fermi level at 1.939 states/eV/atom.

---

6.
A relaxed BaPaPdSe3 crystal, computed with PBE.

It has space group P2_1/m (No. 11), with a = 8.727 Å, b = 4.186 Å, c = 9.552 Å, α = 90.00°, β = 107.92° and γ = 90.00°. The inequivalent atoms are Ba at (0.203, 0.250, 0.260), Pa at (0.313, 0.750, 0.832), Pd at (0.092, 0.250, 0.608), Se at (0.104, 0.250, 0.878), Se at (0.239, 0.750, 0.529) and Se at (0.447, 0.750, 0.155).

The uncorrected formation energy is -1.387 eV per atom. The value obtained for the raw total energy is -5.90 eV per atom. The calculation puts the density of states at the Fermi level at 0.782 states/eV/atom.

---

7.
A relaxed ErCdAgRh crystal, computed with PBE.

It has space group F-43m (No. 216), with a = 6.784 Å, b = 6.784 Å, c = 6.784 Å, α = 90.00°, β = 90.00° and γ = 90.00°. The inequivalent atoms are Er at (0.000, 0.000, 0.000), Cd at (0.000, 0.000, 0.500), Ag at (0.250, 0.250, 0.750) and Rh at (0.250, 0.250, 0.250).

The formation energy comes out at -0.41 eV/atom. The value obtained for the raw total energy is -4.33 eV per atom. The calculation puts the density of states at the Fermi level at 0.533 states/eV/atom.

---

8.
A relaxed Cs2UTlBr8 crystal, computed with PBE.

It has space group P-1 (No. 2), with a = 7.128 Å, b = 8.248 Å, c = 10.380 Å, α = 89.97°, β = 89.97° and γ = 88.73°. The inequivalent atoms are Cs at (0.001, 0.000, 0.256), U at (0.500, 0.500, 0.000), Tl at (0.500, 0.500, 0.500), Br at (0.228, 0.797, 0.501), Br at (0.267, 0.396, 0.186), Br at (0.268, 0.395, 0.814) and Br at (0.320, 0.794, 0.999).

The uncorrected formation energy is -1.333 eV per atom. The value obtained for the raw total energy is -3.73 eV per atom. The calculation puts the density of states at the Fermi level at 0.341 states/eV/atom.

---

9.
A relaxed AlCdAgOs2 crystal, computed with PBE.

It has space group P4/mmm (No. 123), with a = 4.550 Å, b = 4.550 Å, c = 4.666 Å, α = 90.00°, β = 90.00° and γ = 90.00°. The inequivalent atoms are Al at (0.000, 0.000, 0.000), Cd at (0.500, 0.500, 0.500), Ag at (0.000, 0.000, 0.500) and Os at (0.000, 0.500, 0.000).

The value obtained for the energy above the most stable polymorph in this dataset is 0.000 eV/atom. The formation energy comes out at 1.26 eV/atom. The value obtained for the raw total energy is -4.74 eV per atom. The calculation puts the density of states at the Fermi level at 0.798 states/eV/atom.

---

10.
A relaxed NbOsRuW crystal, computed with PBE.

It has space group F-43m (No. 216), with a = 6.316 Å, b = 6.316 Å, c = 6.316 Å, α = 90.00°, β = 90.00° and γ = 90.00°. The inequivalent atoms are Nb at (0.000, 0.000, 0.000), Os at (0.000, 0.000, 0.500), Ru at (0.250, 0.250, 0.250) and W at (0.250, 0.250, 0.750).

The formation energy comes out at 0.18 eV/atom. The value obtained for the raw total energy is -10.70 eV per atom. The calculation puts the density of states at the Fermi level at 1.550 states/eV/atom.

---

11.
A relaxed Pr2Tm4Sn3O2 crystal, computed with PBE.

It has space group I4/mmm (No. 139), with a = 4.619 Å, b = 4.619 Å, c = 25.399 Å, α = 90.00°, β = 90.00° and γ = 90.00°. The inequivalent atoms are Pr at (0.000, 0.000, 0.196), Tm at (0.000, 0.500, 0.081), Sn at (0.000, 0.000, 0.327), Sn at (0.000, 0.000, 0.500) and O at (0.000, 0.000, 0.090).

The uncorrected formation energy is -1.545 eV per atom. The value obtained for the raw total energy is -6.03 eV per atom. The calculation puts the density of states at the Fermi level at 0.736 states/eV/atom.

---

12.
A relaxed PrSm2Th3S6 crystal, computed with PBE.

It has space group C2/m (No. 12), with a = 6.989 Å, b = 12.003 Å, c = 7.055 Å, α = 90.00°, β = 108.94° and γ = 90.00°. The inequivalent atoms are Pr at (0.000, 0.000, 0.000), Sm at (0.000, 0.333, 0.000), Th at (0.000, 0.164, 0.500), Th at (0.000, 0.500, 0.500), S at (0.243, 0.500, 0.245) and S at (0.248, 0.331, 0.751).

The uncorrected formation energy is -1.916 eV per atom. The value obtained for the raw total energy is -7.02 eV per atom. The calculation puts the density of states at the Fermi level at 0.621 states/eV/atom.